# 1
Computed, not measured: an optimized crystal structure of BeRh2Pb at the PBE level of DFT.

The calculation puts the distance to the lowest polymorph of the same formula at 0.000 eV per atom. The calculation puts the total DFT energy (no corrections) at -5.641 eV/atom. The calculation puts the density of states at the Fermi level at 3.7 states/eV/cell.

Lattice parameters (Å, degrees): 4.263 4.270 6.610 90.00 90.00 90.00
Space group Cmmm (No. 65)
Inequivalent atoms, fractional coordinates:
Be: 0.000 0.000 0.000 x2
Rh: 0.000 0.500 0.204 x4
Pb: 0.000 0.000 0.500 x2

***

# 2
Computed, not measured: an optimized crystal structure of Nd4U2Ru5 at the PBE level of DFT.

The calculation puts the total DFT energy (no corrections) at -8.167 eV/atom. The calculation puts the density of states at the Fermi level at 45.0 states/eV/cell.

Lattice parameters (Å, degrees): 8.840 18.407 6.224 90.00 90.00 90.00
Space group Ibam (No. 72)
Inequivalent atoms, fractional coordinates:
Nd: 0.120 0.138 0.000 x8
Nd: 0.249 0.446 0.000 x8
U: 0.000 0.303 0.250 x8
Ru: 0.000 0.000 0.250 x4
Ru: 0.062 0.409 0.500 x8
Ru: 0.163 0.225 0.500 x8

***

# 3
Computed, not measured: an optimized crystal structure of LiCrPt2 at the PBE level of DFT.

The calculation puts the total DFT energy (no corrections) at -5.965 eV/atom. The calculation puts the density of states at the Fermi level at 9.2 states/eV/cell.

Lattice parameters (Å, degrees): 2.7208 2.7208 27.1535 90.00 90.00 120.00
Space group R3m (No. 160, hexagonal axes)
Inequivalent atoms, fractional coordinates:
Li: 0.0000 0.0000 0.0000 x3
Cr: 0.0000 0.0000 0.7569 x3
Pt: 0.0000 0.0000 0.2561 x3
Pt: 0.0000 0.0000 0.4982 x3

***

# 4
Computed, not measured: an optimized crystal structure of AcPaSbPb at the PBE level of DFT.

The calculation puts the total DFT energy (no corrections) at -5.609 eV/atom. The energy relative to the elements, uncorrected is -0.2498 eV per atom. The calculation puts the density of states at the Fermi level at 30.1 states/eV/cell.

Lattice parameters (Å, degrees): 7.898 7.898 7.898 90.00 90.00 90.00
Space group F-43m (No. 216)
Inequivalent atoms, fractional coordinates:
Ac: 0.000 0.000 0.000 x4
Pa: 0.000 0.000 0.500 x4
Sb: 0.250 0.250 0.750 x4
Pb: 0.250 0.250 0.250 x4

***

# 5
Computed, not measured: an optimized crystal structure of MgZr2NiIr at the PBE level of DFT.

The calculation puts the total DFT energy (no corrections) at -6.403 eV/atom. The calculation puts the density of states at the Fermi level at 6.7 states/eV/cell.

Lattice parameters (Å, degrees): 4.745 4.745 4.474 90.00 90.00 90.00
Space group P4/mmm (No. 123)
Inequivalent atoms, fractional coordinates:
Mg: 0.000 0.000 0.000 x1
Zr: 0.000 0.500 0.500 x2
Ni: 0.000 0.000 0.500 x1
Ir: 0.500 0.500 0.000 x1

***

# 6
Computed, not measured: an optimized crystal structure of TiAl3Ir2 at the PBE level of DFT.

The calculation puts the total DFT energy (no corrections) at -6.925 eV/atom. The calculation puts the density of states at the Fermi level at 2.8 states/eV/cell.

Lattice parameters (Å, degrees): 4.084 7.917 5.683 90.00 90.00 90.00
Space group Pmc2_1 (No. 26)
Inequivalent atoms, fractional coordinates:
Ti: 0.000 0.094 0.000 x2
Al: 0.000 0.278 0.591 x2
Al: 0.500 0.226 0.296 x2
Al: 0.500 0.401 0.881 x2
Ir: 0.000 0.409 0.191 x2
Ir: 0.500 0.085 0.700 x2

***

# 7
Computed, not measured: an optimized crystal structure of BaAuBr4 at the PBE level of DFT.

The calculation puts the distance to the lowest polymorph of the same formula at 0.061 eV per atom. The calculation puts the total DFT energy (no corrections) at -3.036 eV/atom. The energy relative to the elements, uncorrected is -1.0544 eV per atom. The calculation puts the density of states at the Fermi level at 11.7 states/eV/cell.

Lattice parameters (Å, degrees): 9.919 7.327 11.373 90.00 99.71 90.00
Space group C2/c (No. 15)
Inequivalent atoms, fractional coordinates:
Ba: 0.250 0.250 0.000 x4
Au: 0.000 0.250 0.250 x4
Br: 0.067 0.250 0.470 x8
Br: 0.249 0.000 0.250 x8

***

# 8
Computed, not measured: an optimized crystal structure of MgH6Ir3 at the PBE level of DFT.

The calculation puts the distance to the lowest polymorph of the same formula at 0.019 eV per atom. The calculation puts the total DFT energy (no corrections) at -4.827 eV/atom. The calculation puts the density of states at the Fermi level at 1.3 states/eV/cell.

Lattice parameters (Å, degrees): 2.894 4.595 7.162 100.77 101.62 90.01
Space group P1 (No. 1)
Inequivalent atoms, fractional coordinates:
Mg: 0.000 0.000 0.000 x1
H: 0.302 0.337 0.617 x1
H: 0.402 0.724 0.805 x1
H: 0.431 0.247 0.862 x1
H: 0.545 0.666 0.094 x1
H: 0.624 0.254 0.248 x1
H: 0.799 0.746 0.601 x1
Ir: 0.197 0.433 0.396 x1
Ir: 0.333 0.973 0.668 x1
Ir: 0.649 0.884 0.301 x1

***

# 9
Computed, not measured: an optimized crystal structure of KNbN2O at the PBE level of DFT.

The calculation puts the total DFT energy (no corrections) at -4.252 eV/atom. The energy relative to the elements, uncorrected is 2.3029 eV per atom. The calculation puts the density of states at the Fermi level at 3.7 states/eV/cell.

Lattice parameters (Å, degrees): 4.046 4.046 4.116 90.00 90.00 90.00
Space group P4/mmm (No. 123)
Inequivalent atoms, fractional coordinates:
K: 0.000 0.000 0.000 x1
Nb: 0.500 0.500 0.500 x1
N: 0.000 0.500 0.000 x2
O: 0.000 0.000 0.500 x1

***

# 10
Computed, not measured: an optimized crystal structure of HoIn2Hg at the PBE level of DFT.

The calculation puts the total DFT energy (no corrections) at -2.772 eV/atom. The calculation puts the density of states at the Fermi level at 4.3 states/eV/cell.

Lattice parameters (Å, degrees): 3.785 3.785 7.138 90.00 90.00 90.00
Space group P4/mmm (No. 123)
Inequivalent atoms, fractional coordinates:
Ho: 0.000 0.000 0.000 x1
In: 0.500 0.500 0.266 x2
Hg: 0.000 0.000 0.500 x1

***

# 11
Computed, not measured: an optimized crystal structure of TaTlIn at the PBE level of DFT.

The calculation puts the distance to the lowest polymorph of the same formula at 0.078 eV per atom. The calculation puts the total DFT energy (no corrections) at -5.142 eV/atom. The calculation puts the density of states at the Fermi level at 5.5 states/eV/cell.

Lattice parameters (Å, degrees): 3.024 3.024 14.944 90.00 90.00 90.00
Space group I4mm (No. 107)
Inequivalent atoms, fractional coordinates:
Ta: 0.000 0.000 0.000 x2
Tl: 0.000 0.000 0.339 x2
In: 0.000 0.000 0.644 x2

***

# 12
Computed, not measured: an optimized crystal structure of PmYRhAu at the PBE level of DFT.

The calculation puts the distance to the lowest polymorph of the same formula at 0.000 eV per atom. The calculation puts the total DFT energy (no corrections) at -6.266 eV/atom. The calculation puts the density of states at the Fermi level at 5.6 states/eV/cell.

Lattice parameters (Å, degrees): 4.620 3.852 10.587 90.00 90.00 90.00
Space group Amm2 (No. 38)
Inequivalent atoms, fractional coordinates:
Pm: 0.000 0.000 0.000 x2
Y: 0.500 0.000 0.281 x2
Rh: 0.000 0.000 0.735 x2
Au: 0.500 0.000 0.563 x2

***

# 13
Computed, not measured: an optimized crystal structure of CdAg2N at the PBE level of DFT.

The calculation puts the distance to the lowest polymorph of the same formula at 0.196 eV per atom. The calculation puts the total DFT energy (no corrections) at -2.728 eV/atom. The energy relative to the elements, uncorrected is 1.0078 eV per atom. The calculation puts the density of states at the Fermi level at 9.0 states/eV/cell.

Lattice parameters (Å, degrees): 6.390 6.390 6.390 90.00 90.00 90.00
Space group Fm-3m (No. 225)
Inequivalent atoms, fractional coordinates:
Cd: 0.000 0.000 0.000 x4
Ag: 0.250 0.250 0.250 x8
N: 0.000 0.000 0.500 x4

***

# 14
Computed, not measured: an optimized crystal structure of Tc3RuC at the PBE level of DFT.

The calculation puts the distance to the lowest polymorph of the same formula at 0.000 eV per atom. The calculation puts the total DFT energy (no corrections) at -9.716 eV/atom. The calculation puts the density of states at the Fermi level at 4.6 states/eV/cell.

Lattice parameters (Å, degrees): 4.040 4.040 4.040 90.00 90.00 90.00
Space group Pm-3m (No. 221)
Inequivalent atoms, fractional coordinates:
Tc: 0.000 0.000 0.500 x3
Ru: 0.500 0.500 0.500 x1
C: 0.000 0.000 0.000 x1

***

# 15
Computed, not measured: an optimized crystal structure of YMoOs at the PBE level of DFT.

The calculation puts the distance to the lowest polymorph of the same formula at 0.000 eV per atom. The calculation puts the total DFT energy (no corrections) at -9.683 eV/atom. The calculation puts the density of states at the Fermi level at 9.4 states/eV/cell.

Lattice parameters (Å, degrees): 5.349 5.697 7.468 90.00 90.00 90.00
Space group Imma (No. 74)
Inequivalent atoms, fractional coordinates:
Y: 0.000 0.250 0.129 x4
Mo: 0.250 0.250 0.750 x4
Os: 0.000 0.000 0.500 x4

***

# 16
Computed, not measured: an optimized crystal structure of CaGdDyAl at the PBE level of DFT.

The calculation puts the total DFT energy (no corrections) at -6.163 eV/atom. The calculation puts the density of states at the Fermi level at 17.4 states/eV/cell.

Lattice parameters (Å, degrees): 7.632 7.632 7.632 90.00 90.00 90.00
Space group F-43m (No. 216)
Inequivalent atoms, fractional coordinates:
Ca: 0.000 0.000 0.000 x4
Gd: 0.250 0.250 0.750 x4
Dy: 0.250 0.250 0.250 x4
Al: 0.000 0.000 0.500 x4

***

# 17
Computed, not measured: an optimized crystal structure of Dy2Y3PuSe6 at the PBE level of DFT.

The calculation puts the total DFT energy (no corrections) at -7.062 eV/atom. The energy relative to the elements, uncorrected is -1.7425 eV per atom. The calculation puts the density of states at the Fermi level at 16.7 states/eV/cell.

Lattice parameters (Å, degrees): 17.845 4.073 8.212 90.00 103.36 90.00
Space group C2/m (No. 12)
Inequivalent atoms, fractional coordinates:
Dy: 0.164 0.000 0.329 x4
Y: 0.000 0.500 0.500 x2
Y: 0.165 0.000 0.835 x4
Pu: 0.000 0.500 0.000 x2
Se: 0.000 0.000 0.253 x4
Se: 0.168 0.500 0.583 x4
Se: 0.169 0.500 0.085 x4

***

# 18
Computed, not measured: an optimized crystal structure of In2TeAs at the PBE level of DFT.

The calculation puts the distance to the lowest polymorph of the same formula at 0.000 eV per atom. The calculation puts the total DFT energy (no corrections) at -3.482 eV/atom. The energy relative to the elements, uncorrected is -0.1655 eV per atom. The calculation puts the density of states at the Fermi level at 1.4 states/eV/cell.

Lattice parameters (Å, degrees): 4.077 4.077 6.908 90.00 90.00 90.00
Space group P4mm (No. 99)
Inequivalent atoms, fractional coordinates:
In: 0.000 0.000 0.000 x1
In: 0.500 0.500 0.419 x1
Te: 0.000 0.000 0.555 x1
As: 0.500 0.500 0.030 x1

***

# 19
Computed, not measured: an optimized crystal structure of Na2TePPd6 at the PBE level of DFT.

The calculation puts the total DFT energy (no corrections) at -4.591 eV/atom. The energy relative to the elements, uncorrected is -0.3558 eV per atom. The calculation puts the density of states at the Fermi level at 11.1 states/eV/cell.

Lattice parameters (Å, degrees): 5.746 8.875 8.020 90.00 90.00 90.00
Space group Pmmn (No. 59, origin choice 2)
Inequivalent atoms, fractional coordinates:
Na: 0.250 0.026 0.225 x4
Te: 0.250 0.750 0.797 x2
P: 0.250 0.250 0.715 x2
Pd: 0.000 0.250 0.931 x4
Pd: 0.007 0.750 0.503 x4
Pd: 0.250 0.003 0.622 x4

***

# 20
Computed, not measured: an optimized crystal structure of TbSm5Y3 at the PBE level of DFT.

The calculation puts the distance to the lowest polymorph of the same formula at 0.336 eV per atom. The calculation puts the total DFT energy (no corrections) at -4.788 eV/atom. The calculation puts the density of states at the Fermi level at 55.7 states/eV/cell.

Lattice parameters (Å, degrees): 15.265 11.629 9.945 90.00 129.77 90.00
Space group C2/m (No. 12)
Inequivalent atoms, fractional coordinates:
Tb: 0.248 0.000 0.093 x4
Sm: 0.000 0.246 0.500 x4
Sm: 0.150 0.248 0.246 x8
Sm: 0.225 0.500 0.546 x4
Sm: 0.227 0.000 0.736 x4
Y: 0.000 0.000 0.000 x2
Y: 0.000 0.500 0.500 x2
Y: 0.009 0.000 0.324 x4
Y: 0.016 0.500 0.855 x4

***

# 21
Computed, not measured: an optimized crystal structure of KB2POs at the PBE level of DFT.

The calculation puts the total DFT energy (no corrections) at -3.906 eV/atom. The calculation puts the density of states at the Fermi level at 7.0 states/eV/cell.

Lattice parameters (Å, degrees): 4.000 4.000 5.364 90.00 90.00 90.00
Space group P4/mmm (No. 123)
Inequivalent atoms, fractional coordinates:
K: 0.000 0.000 0.000 x1
B: 0.000 0.500 0.500 x2
P: 0.000 0.000 0.500 x1
Os: 0.500 0.500 0.000 x1

***

# 22
Computed, not measured: an optimized crystal structure of RbMg2Bi2 at the PBE level of DFT.

The calculation puts the distance to the lowest polymorph of the same formula at 0.088 eV per atom. The calculation puts the total DFT energy (no corrections) at -2.638 eV/atom. The calculation puts the density of states at the Fermi level at 1.2 states/eV/cell.

Lattice parameters (Å, degrees): 7.350 7.473 9.006 103.08 102.64 117.29
Space group P-1 (No. 2)
Inequivalent atoms, fractional coordinates:
Rb: 0.127 0.377 0.255 x2
Mg: 0.215 0.284 0.753 x2
Mg: 0.459 0.029 0.246 x2
Bi: 0.241 0.991 0.482 x2
Bi: 0.489 0.739 0.977 x2

***

# 23
Computed, not measured: an optimized crystal structure of ScAlPO2 at the PBE level of DFT.

The calculation puts the distance to the lowest polymorph of the same formula at 0.532 eV per atom. The calculation puts the total DFT energy (no corrections) at -6.122 eV/atom. The energy relative to the elements, uncorrected is -1.0422 eV per atom. The calculation puts the density of states at the Fermi level at 5.5 states/eV/cell.

Lattice parameters (Å, degrees): 3.916 3.916 5.528 90.00 90.00 90.00
Space group P4/mmm (No. 123)
Inequivalent atoms, fractional coordinates:
Sc: 0.000 0.000 0.000 x1
Al: 0.500 0.500 0.500 x1
P: 0.000 0.000 0.500 x1
O: 0.000 0.500 0.000 x2

***

# 24
Computed, not measured: an optimized crystal structure of La3SbN2 at the PBE level of DFT.

The calculation puts the distance to the lowest polymorph of the same formula at 0.000 eV per atom. The calculation puts the total DFT energy (no corrections) at -7.270 eV/atom. The energy relative to the elements, uncorrected is -1.3444 eV per atom. The calculation puts the density of states at the Fermi level at 0.5 states/eV/cell.

Lattice parameters (Å, degrees): 4.375 12.574 5.383 90.00 90.00 90.00
Space group Pmmn (No. 59, origin choice 2)
Inequivalent atoms, fractional coordinates:
La: 0.250 0.026 0.249 x4
La: 0.250 0.250 0.777 x2
Sb: 0.250 0.750 0.692 x2
N: 0.250 0.059 0.820 x4